# TlZnCdGa, relaxed, DFT PBE
# Formation energy from the elements in eV per atom: 0.1800
data_TlZnCdGa
_chemical_formula_sum 'Tl4 Zn4 Cd4 Ga4'
_symmetry_space_group_name_H-M 'P 1'
_symmetry_Int_Tables_number 1
_cell_length_a 7.154
_cell_length_b 7.154
_cell_length_c 7.154
_cell_angle_alpha 90.00
_cell_angle_beta 90.00
_cell_angle_gamma 90.00
loop_
_symmetry_equiv_pos_as_xyz
'x,y,z'
loop_
_atom_site_label
_atom_site_type_symbol
_atom_site_fract_x
_atom_site_fract_y
_atom_site_fract_z
_atom_site_occupancy
Tl1 Tl 0.000 0.000 0.000 1
Tl2 Tl 0.000 0.500 0.500 1
Tl3 Tl 0.500 0.000 0.500 1
Tl4 Tl 0.500 0.500 0.000 1
Zn1 Zn 0.250 0.250 0.250 1
Zn2 Zn 0.250 0.750 0.750 1
Zn3 Zn 0.750 0.250 0.750 1
Zn4 Zn 0.750 0.750 0.250 1
Cd1 Cd 0.250 0.250 0.750 1
Cd2 Cd 0.250 0.750 0.250 1
Cd3 Cd 0.750 0.250 0.250 1
Cd4 Cd 0.750 0.750 0.750 1
Ga1 Ga 0.000 0.000 0.500 1
Ga2 Ga 0.000 0.500 0.000 1
Ga3 Ga 0.500 0.000 0.000 1
Ga4 Ga 0.500 0.500 0.500 1

# Pm4SmRh4, relaxed, DFT PBE
# Formation energy from the elements in eV per atom: -0.5815
data_Pm4SmRh4
_chemical_formula_sum 'Pm8 Sm2 Rh8'
_symmetry_space_group_name_H-M 'P 1'
_symmetry_Int_Tables_number 1
_cell_length_a 8.960
_cell_length_b 8.960
_cell_length_c 5.759
_cell_angle_alpha 90.00
_cell_angle_beta 90.00
_cell_angle_gamma 90.00
loop_
_symmetry_equiv_pos_as_xyz
'x,y,z'
loop_
_atom_site_label
_atom_site_type_symbol
_atom_site_fract_x
_atom_site_fract_y
_atom_site_fract_z
_atom_site_occupancy
Pm1 Pm 0.064 0.664 0.162 1
Pm2 Pm 0.164 0.936 0.662 1
Pm3 Pm 0.336 0.564 0.662 1
Pm4 Pm 0.436 0.836 0.162 1
Pm5 Pm 0.564 0.164 0.838 1
Pm6 Pm 0.664 0.436 0.338 1
Pm7 Pm 0.836 0.064 0.338 1
Pm8 Pm 0.936 0.336 0.838 1
Sm1 Sm 0.250 0.250 0.250 1
Sm2 Sm 0.750 0.750 0.750 1
Rh1 Rh 0.028 0.627 0.656 1
Rh2 Rh 0.127 0.972 0.156 1
Rh3 Rh 0.373 0.528 0.156 1
Rh4 Rh 0.472 0.873 0.656 1
Rh5 Rh 0.528 0.127 0.344 1
Rh6 Rh 0.627 0.472 0.844 1
Rh7 Rh 0.873 0.028 0.844 1
Rh8 Rh 0.972 0.373 0.344 1

# PrDyZnPt, relaxed, DFT PBE
# Energy above the lowest structure with this stoichiometry in meV/atom: 49
# Formation energy from the elements in eV per atom: -0.7005
data_PrDyZnPt
_chemical_formula_sum 'Pr4 Dy4 Zn4 Pt4'
_symmetry_space_group_name_H-M 'P 1'
_symmetry_Int_Tables_number 1
_cell_length_a 7.201
_cell_length_b 7.201
_cell_length_c 7.201
_cell_angle_alpha 90.00
_cell_angle_beta 90.00
_cell_angle_gamma 90.00
loop_
_symmetry_equiv_pos_as_xyz
'x,y,z'
loop_
_atom_site_label
_atom_site_type_symbol
_atom_site_fract_x
_atom_site_fract_y
_atom_site_fract_z
_atom_site_occupancy
Pr1 Pr 0.000 0.000 0.000 1
Pr2 Pr 0.000 0.500 0.500 1
Pr3 Pr 0.500 0.000 0.500 1
Pr4 Pr 0.500 0.500 0.000 1
Dy1 Dy 0.000 0.000 0.500 1
Dy2 Dy 0.000 0.500 0.000 1
Dy3 Dy 0.500 0.000 0.000 1
Dy4 Dy 0.500 0.500 0.500 1
Zn1 Zn 0.250 0.250 0.250 1
Zn2 Zn 0.250 0.750 0.750 1
Zn3 Zn 0.750 0.250 0.750 1
Zn4 Zn 0.750 0.750 0.250 1
Pt1 Pt 0.250 0.250 0.750 1
Pt2 Pt 0.250 0.750 0.250 1
Pt3 Pt 0.750 0.250 0.250 1
Pt4 Pt 0.750 0.750 0.750 1

# Li5Pr2Pd5, relaxed, DFT PBE
# Formation energy from the elements in eV per atom: -0.5015
data_Li5Pr2Pd5
_chemical_formula_sum 'Li5 Pr2 Pd5'
_symmetry_space_group_name_H-M 'P 1'
_symmetry_Int_Tables_number 1
_cell_length_a 4.420
_cell_length_b 5.240
_cell_length_c 9.419
_cell_angle_alpha 90.00
_cell_angle_beta 90.00
_cell_angle_gamma 90.00
loop_
_symmetry_equiv_pos_as_xyz
'x,y,z'
loop_
_atom_site_label
_atom_site_type_symbol
_atom_site_fract_x
_atom_site_fract_y
_atom_site_fract_z
_atom_site_occupancy
Li1 Li 0.000 0.000 0.000 1
Li2 Li 0.000 0.252 0.255 1
Li3 Li 0.000 0.252 0.745 1
Li4 Li 0.000 0.748 0.255 1
Li5 Li 0.000 0.748 0.745 1
Pr1 Pr 0.500 0.000 0.500 1
Pr2 Pr 0.500 0.500 0.000 1
Pd1 Pd 0.000 0.500 0.500 1
Pd2 Pd 0.500 0.000 0.168 1
Pd3 Pd 0.500 0.000 0.832 1
Pd4 Pd 0.500 0.500 0.322 1
Pd5 Pd 0.500 0.500 0.678 1

# TcNi2, relaxed, DFT PBE
# Energy above the lowest structure with this stoichiometry in meV/atom: 144
# Formation energy from the elements in eV per atom: 0.1065
data_TcNi2
_chemical_formula_sum 'Tc1 Ni2'
_symmetry_space_group_name_H-M 'P 1'
_symmetry_Int_Tables_number 1
_cell_length_a 2.618
_cell_length_b 2.618
_cell_length_c 6.237
_cell_angle_alpha 90.00
_cell_angle_beta 90.00
_cell_angle_gamma 120.00
loop_
_symmetry_equiv_pos_as_xyz
'x,y,z'
loop_
_atom_site_label
_atom_site_type_symbol
_atom_site_fract_x
_atom_site_fract_y
_atom_site_fract_z
_atom_site_occupancy
Tc1 Tc 0.000 0.000 0.000 1
Ni1 Ni 0.333 0.667 0.663 1
Ni2 Ni 0.667 0.333 0.337 1

# NpSn4Se7, relaxed, DFT PBE
# Formation energy (no corrections) in eV per atom: -0.543
data_NpSn4Se7
_chemical_formula_sum 'Np1 Sn4 Se7'
_symmetry_space_group_name_H-M 'P 1'
_symmetry_Int_Tables_number 1
_cell_length_a 7.152
_cell_length_b 7.152
_cell_length_c 12.923
_cell_angle_alpha 103.39
_cell_angle_beta 103.39
_cell_angle_gamma 33.37
loop_
_symmetry_equiv_pos_as_xyz
'x,y,z'
loop_
_atom_site_label
_atom_site_type_symbol
_atom_site_fract_x
_atom_site_fract_y
_atom_site_fract_z
_atom_site_occupancy
Np1 Np 0.000 0.000 0.000 1
Sn1 Sn 0.091 0.091 0.424 1
Sn2 Sn 0.257 0.257 0.857 1
Sn3 Sn 0.421 0.421 0.583 1
Sn4 Sn 0.765 0.765 0.249 1
Se1 Se 0.069 0.069 0.625 1
Se2 Se 0.117 0.117 0.215 1
Se3 Se 0.384 0.384 0.061 1
Se4 Se 0.445 0.445 0.371 1
Se5 Se 0.625 0.625 0.964 1
Se6 Se 0.736 0.736 0.459 1
Se7 Se 0.875 0.875 0.795 1

Repeat the fourth record exactly.
# Li5Pr2Pd5, relaxed, DFT PBE
# Formation energy from the elements in eV per atom: -0.5015
data_Li5Pr2Pd5
_chemical_formula_sum 'Li5 Pr2 Pd5'
_symmetry_space_group_name_H-M 'P 1'
_symmetry_Int_Tables_number 1
_cell_length_a 4.420
_cell_length_b 5.240
_cell_length_c 9.419
_cell_angle_alpha 90.00
_cell_angle_beta 90.00
_cell_angle_gamma 90.00
loop_
_symmetry_equiv_pos_as_xyz
'x,y,z'
loop_
_atom_site_label
_atom_site_type_symbol
_atom_site_fract_x
_atom_site_fract_y
_atom_site_fract_z
_atom_site_occupancy
Li1 Li 0.000 0.000 0.000 1
Li2 Li 0.000 0.252 0.255 1
Li3 Li 0.000 0.252 0.745 1
Li4 Li 0.000 0.748 0.255 1
Li5 Li 0.000 0.748 0.745 1
Pr1 Pr 0.500 0.000 0.500 1
Pr2 Pr 0.500 0.500 0.000 1
Pd1 Pd 0.000 0.500 0.500 1
Pd2 Pd 0.500 0.000 0.168 1
Pd3 Pd 0.500 0.000 0.832 1
Pd4 Pd 0.500 0.500 0.322 1
Pd5 Pd 0.500 0.500 0.678 1